No. 1
! CdCoCuRh2 PBEsol optimized geometry; values from VASP
&SYSTEM
  ibrav = 0, nat = 5, ntyp = 4
/
ATOMIC_SPECIES
Co 58.93 Co.upf
Rh 102.91 Rh.upf
Cu 63.55 Cu.upf
Cd 112.41 Cd.upf
CELL_PARAMETERS angstrom
4.536 0.000 0.000
0.000 4.789 0.000
0.000 0.000 4.789
ATOMIC_POSITIONS crystal
Co 0.500 0.000 0.000
Rh 0.000 0.000 0.500
Rh 0.000 0.500 0.000
Cu 0.500 0.500 0.500
Cd 0.000 0.000 0.000
! - DFT formation energy (eV per formula unit) = 10.223
! - final energy (eV/atom) = -3.8644
! - ρ (g/cm³) = 7.0

***

No. 2
! Fe4ReRh PBEsol optimized geometry; values from VASP
&SYSTEM
  ibrav = 0, nat = 6, ntyp = 3
/
ATOMIC_SPECIES
Fe 55.84 Fe.upf
Re 186.21 Re.upf
Rh 102.91 Rh.upf
CELL_PARAMETERS angstrom
-3.506 -2.899 0.691
0.823 -4.340 1.289
-1.046 -1.371 4.266
ATOMIC_POSITIONS crystal
Fe 0.375 0.375 0.375
Fe 0.375 0.375 0.876
Fe 0.876 0.375 0.375
Fe 0.375 0.876 0.375
Re 0.750 0.750 0.750
Rh 0.000 0.000 0.000
! - DFT formation energy (eV per formula unit) = -0.108
! - final energy (eV/atom) = -9.5721
! - ρ (g/cm³) = 12.4

***

No. 3
! KInSe PBEsol optimized geometry; values from VASP
&SYSTEM
  ibrav = 0, nat = 3, ntyp = 3
/
ATOMIC_SPECIES
K 39.10 K.upf
Se 78.96 Se.upf
In 114.82 In.upf
CELL_PARAMETERS angstrom
-0.963 3.327 -2.299
-2.411 -3.384 -0.128
-3.516 2.322 4.833
ATOMIC_POSITIONS crystal
K 0.333 0.667 0.630
Se 0.667 0.333 0.301
In 0.000 0.000 0.069
! - ΔE_f (raw) (eV per atom) = -0.6859
! - final energy (eV/atom) = -3.3414
! - ρ (g/cm³) = 4.0

***

No. 4
! Cr3Os PBEsol optimized geometry; values from VASP
&SYSTEM
  ibrav = 0, nat = 8, ntyp = 2
/
ATOMIC_SPECIES
Cr 52.00 Cr.upf
Os 190.23 Os.upf
CELL_PARAMETERS angstrom
-3.924 -0.162 0.751
0.803 -3.599 3.420
0.252 4.473 2.285
ATOMIC_POSITIONS crystal
Cr 0.750 0.352 0.106
Cr 0.750 0.869 0.131
Cr 0.250 0.106 0.352
Cr 0.750 0.894 0.648
Cr 0.250 0.131 0.869
Cr 0.250 0.648 0.894
Os 0.250 0.618 0.382
Os 0.750 0.382 0.618
! - DFT formation energy (eV per formula unit) = 0.358
! - final energy (eV/atom) = -10.6459
! - ρ (g/cm³) = 12.0

***

No. 5
! AlHgW PBEsol optimized geometry; values from VASP
&SYSTEM
  ibrav = 0, nat = 3, ntyp = 3
/
ATOMIC_SPECIES
Hg 200.59 Hg.upf
W 183.84 W.upf
Al 26.98 Al.upf
CELL_PARAMETERS angstrom
-1.086 2.549 -0.739
-3.284 -1.200 0.689
2.605 0.858 4.695
ATOMIC_POSITIONS crystal
Hg 0.338 0.338 0.676
W 0.650 0.650 0.300
Al 0.012 0.012 0.024
! - energy relative to the lowest polymorph listed for this composition (kJ/mol of formula units) = 0
! - DFT formation energy (eV per formula unit) = 1.397
! - final energy (eV/atom) = -5.6895
! - ρ (g/cm³) = 13.6

***

No. 6
! Zr2IrCl PBEsol optimized geometry; values from VASP
&SYSTEM
  ibrav = 0, nat = 4, ntyp = 3
/
ATOMIC_SPECIES
Ir 192.22 Ir.upf
Zr 91.22 Zr.upf
Cl 35.45 Cl.upf
CELL_PARAMETERS angstrom
3.028 0.006 0.007
-0.714 4.854 0.001
-0.714 -0.628 4.813
ATOMIC_POSITIONS crystal
Ir 0.500 0.000 0.000
Zr 0.000 0.500 0.000
Zr 0.000 0.000 0.500
Cl 0.500 0.500 0.500
! - ΔE_f (raw) (eV per atom) = -0.6016
! - energy relative to the lowest polymorph listed for this composition (kJ/mol of formula units) = 65
! - final energy (eV/atom) = -8.1043
! - ρ (g/cm³) = 9.6

***

No. 7
! BeCr2Te PBEsol optimized geometry; values from VASP
&SYSTEM
  ibrav = 0, nat = 4, ntyp = 3
/
ATOMIC_SPECIES
Cr 52.00 Cr.upf
Te 127.60 Te.upf
Be 9.01 Be.upf
CELL_PARAMETERS angstrom
-2.108 -0.682 -2.333
0.493 -2.531 -1.925
-3.634 -4.584 2.406
ATOMIC_POSITIONS crystal
Cr 0.275 0.275 0.176
Cr 0.725 0.725 0.824
Te 0.500 0.500 0.500
Be 0.000 0.000 0.000
! - ΔE_f (raw) (eV per atom) = 0.5611
! - energy relative to the lowest polymorph listed for this composition (kJ/mol of formula units) = 24
! - final energy (eV/atom) = -6.4415
! - ρ (g/cm³) = 7.4

***

No. 8
! LaGa6 PBEsol optimized geometry; values from VASP
&SYSTEM
  ibrav = 0, nat = 14, ntyp = 2
/
ATOMIC_SPECIES
La 138.91 La.upf
Ga 69.72 Ga.upf
CELL_PARAMETERS angstrom
5.970 0.000 0.000
0.000 5.970 0.000
0.000 0.000 7.657
ATOMIC_POSITIONS crystal
La 0.000 0.500 0.000
La 0.500 0.000 0.000
Ga 0.500 0.500 0.163
Ga 0.000 0.000 0.837
Ga 0.500 0.500 0.837
Ga 0.000 0.000 0.163
Ga 0.191 0.691 0.351
Ga 0.809 0.309 0.351
Ga 0.691 0.191 0.649
Ga 0.309 0.809 0.649
Ga 0.191 0.309 0.649
Ga 0.809 0.691 0.649
Ga 0.691 0.809 0.351
Ga 0.309 0.191 0.351
! - DFT formation energy (eV per formula unit) = -2.848
! - final energy (eV/atom) = -4.0333
! - ρ (g/cm³) = 6.8

***

No. 9
! Ba2P PBEsol optimized geometry; values from VASP
&SYSTEM
  ibrav = 0, nat = 6, ntyp = 2
/
ATOMIC_SPECIES
P 30.97 P.upf
Ba 137.33 Ba.upf
CELL_PARAMETERS angstrom
4.411 0.000 0.000
-2.206 6.976 0.000
0.000 0.000 7.465
ATOMIC_POSITIONS crystal
P 0.385 0.770 0.489
P 0.615 0.230 0.989
Ba 0.269 0.538 0.089
Ba 0.731 0.462 0.589
Ba 0.005 0.010 0.256
Ba 0.995 0.990 0.756
! - DFT formation energy (eV per formula unit) = -2.277
! - final energy (eV/atom) = -4.1221
! - ρ (g/cm³) = 4.4

***

No. 10
! ZrAl2Te PBEsol optimized geometry; values from VASP
&SYSTEM
  ibrav = 0, nat = 4, ntyp = 3
/
ATOMIC_SPECIES
Te 127.60 Te.upf
Al 26.98 Al.upf
Zr 91.22 Zr.upf
CELL_PARAMETERS angstrom
4.874 0.000 0.000
2.437 4.221 0.000
2.437 1.407 3.980
ATOMIC_POSITIONS crystal
Te 0.500 0.500 0.500
Al 0.000 0.000 0.000
Al 0.250 0.250 0.250
Zr 0.750 0.750 0.750
! - ΔE_f (raw) (eV per atom) = 0.0416
! - final energy (eV/atom) = -5.1581
! - ρ (g/cm³) = 5.5

***

No. 11
! ScTcS2 PBEsol optimized geometry; values from VASP
&SYSTEM
  ibrav = 0, nat = 4, ntyp = 3
/
ATOMIC_SPECIES
Sc 44.96 Sc.upf
S 32.06 S.upf
Tc 98.00 Tc.upf
CELL_PARAMETERS angstrom
3.147 0.000 0.000
1.574 2.726 0.000
1.574 0.909 8.161
ATOMIC_POSITIONS crystal
Sc 0.000 0.000 0.000
S 0.897 0.897 0.308
S 0.103 0.103 0.692
Tc 0.500 0.500 0.500
! - ΔE_f (raw) (eV per atom) = -0.4546
! - final energy (eV/atom) = -7.1146
! - ρ (g/cm³) = 4.9

***

No. 12
! Ca3ReF PBEsol optimized geometry; values from VASP
&SYSTEM
  ibrav = 0, nat = 5, ntyp = 3
/
ATOMIC_SPECIES
Re 186.21 Re.upf
Ca 40.08 Ca.upf
F 19.00 F.upf
CELL_PARAMETERS angstrom
-2.705 -3.764 -0.555
1.915 -1.936 3.792
-3.287 1.970 2.666
ATOMIC_POSITIONS crystal
Re 0.500 0.500 0.500
Ca 0.000 0.500 0.000
Ca 0.000 0.000 0.500
Ca 0.500 0.000 0.000
F 0.000 0.000 0.000
! - ΔE_f (raw) (eV per atom) = -0.4796
! - final energy (eV/atom) = -4.8113
! - ρ (g/cm³) = 5.3

***

No. 13
! NbMo PBEsol optimized geometry; values from VASP
&SYSTEM
  ibrav = 0, nat = 2, ntyp = 2
/
ATOMIC_SPECIES
Mo 95.94 Mo.upf
Nb 92.91 Nb.upf
CELL_PARAMETERS angstrom
-2.586 -0.765 0.674
1.060 -1.791 -1.843
1.617 -2.504 3.363
ATOMIC_POSITIONS crystal
Mo 0.000 0.000 0.000
Nb 0.500 0.500 0.500
! - DFT formation energy (eV per formula unit) = -0.131
! - final energy (eV/atom) = -11.3600
! - ρ (g/cm³) = 9.6

***

No. 14
! LiMgP2 PBEsol optimized geometry; values from VASP
&SYSTEM
  ibrav = 0, nat = 4, ntyp = 3
/
ATOMIC_SPECIES
P 30.97 P.upf
Mg 24.30 Mg.upf
Li 6.94 Li.upf
CELL_PARAMETERS angstrom
3.211 0.000 0.000
0.000 4.005 0.000
-1.605 -2.003 4.946
ATOMIC_POSITIONS crystal
P 0.017 0.017 0.034
P 0.689 0.189 0.378
Mg 0.285 0.785 0.570
Li 0.509 0.509 0.018
! - DFT formation energy (eV per formula unit) = -1.366
! - final energy (eV/atom) = -4.1583
! - ρ (g/cm³) = 2.4

***

No. 15
! ScCo PBEsol optimized geometry; values from VASP
&SYSTEM
  ibrav = 0, nat = 4, ntyp = 2
/
ATOMIC_SPECIES
Co 58.93 Co.upf
Sc 44.96 Sc.upf
CELL_PARAMETERS angstrom
4.130 0.000 0.000
-2.065 3.577 0.000
0.000 0.000 4.483
ATOMIC_POSITIONS crystal
Co 0.000 0.000 0.000
Co 0.000 0.000 0.500
Sc 0.667 0.333 0.750
Sc 0.333 0.667 0.250
! - DFT formation energy (eV per formula unit) = -0.324
! - final energy (eV/atom) = -7.3331
! - ρ (g/cm³) = 5.2

***

No. 16
! AsPb3O PBEsol optimized geometry; values from VASP
&SYSTEM
  ibrav = 0, nat = 5, ntyp = 3
/
ATOMIC_SPECIES
Pb 207.20 Pb.upf
As 74.92 As.upf
O 16.00 O.upf
CELL_PARAMETERS angstrom
5.512 0.000 0.000
0.000 5.512 0.000
0.000 0.000 5.512
ATOMIC_POSITIONS crystal
Pb 0.000 0.500 0.000
Pb 0.000 0.000 0.500
Pb 0.500 0.000 0.000
As 0.000 0.000 0.000
O 0.500 0.500 0.500
! - ΔE_f (raw) (eV per atom) = 0.8512
! - final energy (eV/atom) = -3.6191
! - ρ (g/cm³) = 7.1

***

No. 17
! Zr3Be PBEsol optimized geometry; values from VASP
&SYSTEM
  ibrav = 0, nat = 4, ntyp = 2
/
ATOMIC_SPECIES
Be 9.01 Be.upf
Zr 91.22 Zr.upf
CELL_PARAMETERS angstrom
-0.658 -3.032 3.573
2.878 -3.722 0.505
3.085 -0.136 3.586
ATOMIC_POSITIONS crystal
Be 0.000 0.000 0.000
Zr 0.250 0.250 0.250
Zr 0.500 0.500 0.500
Zr 0.750 0.750 0.750
! - energy relative to the lowest polymorph listed for this composition (kJ/mol of formula units) = 74
! - DFT formation energy (eV per formula unit) = 0.768
! - final energy (eV/atom) = -7.6253
! - ρ (g/cm³) = 6.3

***

No. 18
! CrP PBEsol optimized geometry; values from VASP
&SYSTEM
  ibrav = 0, nat = 8, ntyp = 2
/
ATOMIC_SPECIES
Cr 52.00 Cr.upf
P 30.97 P.upf
CELL_PARAMETERS angstrom
-1.644 3.495 -2.276
1.652 -1.701 -3.805
-3.829 -2.234 -0.664
ATOMIC_POSITIONS crystal
Cr 0.121 0.621 0.879
Cr 0.379 0.379 0.379
Cr 0.879 0.121 0.621
Cr 0.621 0.879 0.121
P 0.411 0.911 0.589
P 0.089 0.089 0.089
P 0.589 0.411 0.911
P 0.911 0.589 0.411
! - DFT formation energy (eV per formula unit) = -1.095
! - final energy (eV/atom) = -8.5644
! - ρ (g/cm³) = 6.1

***

No. 19
! PbWAu4 PBEsol optimized geometry; values from VASP
&SYSTEM
  ibrav = 0, nat = 6, ntyp = 3
/
ATOMIC_SPECIES
Au 196.97 Au.upf
Pb 207.20 Pb.upf
W 183.84 W.upf
CELL_PARAMETERS angstrom
5.458 0.000 0.000
2.729 4.727 0.000
2.729 1.576 4.457
ATOMIC_POSITIONS crystal
Au 0.375 0.375 0.375
Au 0.375 0.375 0.876
Au 0.876 0.375 0.375
Au 0.375 0.876 0.375
Pb 0.750 0.750 0.750
W 0.000 0.000 0.000
! - DFT formation energy (eV per formula unit) = 4.136
! - final energy (eV/atom) = -4.8943
! - ρ (g/cm³) = 17.0

***

No. 20
! CaY2Pt2 PBEsol optimized geometry; values from VASP
&SYSTEM
  ibrav = 0, nat = 5, ntyp = 3
/
ATOMIC_SPECIES
Y 88.91 Y.upf
Ca 40.08 Ca.upf
Pt 195.08 Pt.upf
CELL_PARAMETERS angstrom
5.145 0.000 0.000
0.000 5.145 0.000
-2.573 -2.573 5.191
ATOMIC_POSITIONS crystal
Y 0.336 0.336 0.673
Y 0.664 0.664 0.327
Ca 0.000 0.000 0.000
Pt 0.250 0.750 0.500
Pt 0.750 0.250 0.500
! - energy relative to the lowest polymorph listed for this composition (kJ/mol of formula units) = 205
! - DFT formation energy (eV per formula unit) = -2.692
! - final energy (eV/atom) = -6.4793
! - ρ (g/cm³) = 7.3

***

No. 21
! BaLuCo4O7 PBEsol optimized geometry; values from VASP
&SYSTEM
  ibrav = 0, nat = 26, ntyp = 4
/
ATOMIC_SPECIES
Ba 137.33 Ba.upf
Lu 174.97 Lu.upf
Co 58.93 Co.upf
O 16.00 O.upf
CELL_PARAMETERS angstrom
6.080 0.000 0.030
3.040 5.299 0.015
-0.020 0.000 10.070
ATOMIC_POSITIONS crystal
Ba 0.341 0.328 0.991
Ba 0.669 0.672 0.491
Lu 0.334 0.337 0.615
Lu 0.671 0.663 0.115
Co 0.004 0.996 0.076
Co 0.000 0.004 0.576
Co 0.188 0.172 0.317
Co 0.360 0.828 0.817
Co 0.830 0.813 0.812
Co 0.643 0.187 0.312
Co 0.171 0.643 0.314
Co 0.814 0.357 0.814
O 0.481 0.499 0.225
O 0.980 0.501 0.725
O 0.474 0.499 0.759
O 0.973 0.501 0.259
O 0.514 0.986 0.247
O 0.500 0.014 0.747
O 0.002 0.999 0.257
O 0.002 0.001 0.757
O 0.881 0.799 0.997
O 0.680 0.201 0.497
O 0.144 0.683 0.498
O 0.827 0.317 0.998
O 0.200 0.126 0.500
O 0.326 0.874 0.000
! - ΔE_f (raw) (eV per atom) = -1.6472
! - final energy (eV/atom) = -7.3945
! - ρ (g/cm³) = 6.8

***

No. 22
! Ag2Pt PBEsol optimized geometry; values from VASP
&SYSTEM
  ibrav = 0, nat = 12, ntyp = 2
/
ATOMIC_SPECIES
Pt 195.08 Pt.upf
Ag 107.87 Ag.upf
CELL_PARAMETERS angstrom
-0.036 -2.635 -0.936
4.945 1.558 -4.575
6.821 -2.464 6.671
ATOMIC_POSITIONS crystal
Pt 0.000 0.000 0.000
Pt 0.500 0.320 0.579
Pt 0.000 0.000 0.500
Pt 0.500 0.680 0.421
Ag 0.000 0.346 0.335
Ag 0.500 0.007 0.250
Ag 0.000 0.669 0.170
Ag 0.500 0.332 0.081
Ag 0.500 0.668 0.919
Ag 0.000 0.331 0.830
Ag 0.500 0.993 0.750
Ag 0.000 0.654 0.665
! - energy relative to the lowest polymorph listed for this composition (kJ/mol of formula units) = 1
! - DFT formation energy (eV per formula unit) = -0.016
! - final energy (eV/atom) = -4.5339
! - ρ (g/cm³) = 14.3

***

No. 23
! Na3MgPCO7 PBEsol optimized geometry; values from VASP
&SYSTEM
  ibrav = 0, nat = 26, ntyp = 5
/
ATOMIC_SPECIES
Na 22.99 Na.upf
Mg 24.30 Mg.upf
P 30.97 P.upf
C 12.01 C.upf
O 16.00 O.upf
CELL_PARAMETERS angstrom
-2.114 -3.826 2.876
5.967 -1.901 1.855
-0.459 5.418 7.030
ATOMIC_POSITIONS crystal
Na 0.000 0.514 0.000
Na 0.437 0.763 0.160
Na 0.500 0.513 0.500
Na 0.500 0.013 0.500
Na 0.563 0.263 0.840
Na 0.000 0.014 0.000
Mg 0.033 0.263 0.291
Mg 0.967 0.763 0.709
P 0.981 0.763 0.345
P 0.019 0.263 0.655
C 0.501 0.264 0.161
C 0.499 0.764 0.839
O 0.323 0.264 0.059
O 0.741 0.264 0.119
O 0.076 0.954 0.253
O 0.076 0.573 0.253
O 0.438 0.263 0.301
O 0.689 0.763 0.359
O 0.109 0.764 0.501
O 0.891 0.264 0.499
O 0.311 0.263 0.641
O 0.562 0.763 0.699
O 0.924 0.073 0.747
O 0.924 0.454 0.747
O 0.259 0.764 0.881
O 0.677 0.764 0.941
! - ΔE_f (raw) (eV per atom) = -2.1540
! - energy relative to the lowest polymorph listed for this composition (kJ/mol of formula units) = 25
! - final energy (eV/atom) = -6.6229
! - ρ (g/cm³) = 2.7

***

No. 24
! IrPtCl2 PBEsol optimized geometry; values from VASP
&SYSTEM
  ibrav = 0, nat = 4, ntyp = 3
/
ATOMIC_SPECIES
Ir 192.22 Ir.upf
Pt 195.08 Pt.upf
Cl 35.45 Cl.upf
CELL_PARAMETERS angstrom
-0.209 -1.482 -2.634
4.456 1.875 -1.084
-0.310 -3.511 3.580
ATOMIC_POSITIONS crystal
Ir 0.000 0.000 0.000
Pt 0.500 0.500 0.000
Cl 0.000 0.000 0.500
Cl 0.500 0.500 0.500
! - ΔE_f (raw) (eV per atom) = 0.6440
! - energy relative to the lowest polymorph listed for this composition (kJ/mol of formula units) = 239
! - final energy (eV/atom) = -4.5567
! - ρ (g/cm³) = 12.2

***

No. 25
! Na3NF PBEsol optimized geometry; values from VASP
&SYSTEM
  ibrav = 0, nat = 5, ntyp = 3
/
ATOMIC_SPECIES
Na 22.99 Na.upf
N 14.01 N.upf
F 19.00 F.upf
CELL_PARAMETERS angstrom
-2.577 -3.574 -1.041
2.847 -2.708 2.250
-2.398 0.626 3.788
ATOMIC_POSITIONS crystal
Na 0.000 0.500 0.000
Na 0.000 0.000 0.500
Na 0.500 0.000 0.000
N 0.000 0.000 0.000
F 0.500 0.500 0.500
! - ΔE_f (raw) (eV per atom) = -0.5067
! - final energy (eV/atom) = -3.4373
! - ρ (g/cm³) = 1.8

***

No. 26
! BaCuBr2 PBEsol optimized geometry; values from VASP
&SYSTEM
  ibrav = 0, nat = 4, ntyp = 3
/
ATOMIC_SPECIES
Ba 137.33 Ba.upf
Br 79.90 Br.upf
Cu 63.55 Cu.upf
CELL_PARAMETERS angstrom
-3.714 -1.268 -2.113
-0.406 -3.455 2.786
-0.893 5.415 3.022
ATOMIC_POSITIONS crystal
Ba 0.250 0.750 0.500
Br 0.000 0.000 0.000
Br 0.750 0.250 0.500
Cu 0.500 0.500 0.000
! - ΔE_f (raw) (eV per atom) = -0.8387
! - energy relative to the lowest polymorph listed for this composition (kJ/mol of formula units) = 26
! - final energy (eV/atom) = -3.3945
! - ρ (g/cm³) = 5.6